(i)
# NdSm4Er (GGA-PBE, relaxed)
data_NdSm4Er
_chemical_formula_sum 'Nd2 Sm8 Er2'
_space_group_name_H-M_alt 'C 1 2/m 1'
_space_group_IT_number 12
_cell_length_a 11.241
_cell_length_b 5.923
_cell_length_c 6.055
_cell_angle_alpha 90.00
_cell_angle_beta 90.29
_cell_angle_gamma 90.00
loop_
_space_group_symop_operation_xyz
'x,y,z'
'-x,-y,-z'
'-x,y,-z'
'x,-y,z'
'x+1/2,y+1/2,z'
'-x+1/2,-y+1/2,-z'
'-x+1/2,y+1/2,-z'
'x+1/2,-y+1/2,z'
loop_
_atom_site_label
_atom_site_fract_x
_atom_site_fract_y
_atom_site_fract_z
_atom_site_occupancy
Nd1 0.000 0.000 0.000 1
Sm1 0.172 0.500 0.042 1
Sm2 0.173 0.000 0.459 1
Er1 0.000 0.500 0.500 1
# - magnetic moment (μB/atom) = 0.0000



(ii)
# NdSm4Er (GGA-PBE, relaxed)
data_NdSm4Er
_chemical_formula_sum 'Nd2 Sm8 Er2'
_space_group_name_H-M_alt 'C 1 2/m 1'
_space_group_IT_number 12
_cell_length_a 11.773
_cell_length_b 3.472
_cell_length_c 11.612
_cell_angle_alpha 90.00
_cell_angle_beta 119.71
_cell_angle_gamma 90.00
loop_
_space_group_symop_operation_xyz
'x,y,z'
'-x,-y,-z'
'-x,y,-z'
'x,-y,z'
'x+1/2,y+1/2,z'
'-x+1/2,-y+1/2,-z'
'-x+1/2,y+1/2,-z'
'x+1/2,-y+1/2,z'
loop_
_atom_site_label
_atom_site_fract_x
_atom_site_fract_y
_atom_site_fract_z
_atom_site_occupancy
Nd1 0.000 0.000 0.000 1
Sm1 0.188 0.000 0.842 1
Sm2 0.192 0.000 0.347 1
Er1 0.000 0.000 0.500 1
# - magnetic moment (μB/atom) = 0.0000



(iii)
# NdSm4Er (GGA-PBE, relaxed)
data_NdSm4Er
_chemical_formula_sum 'Nd4 Sm16 Er4'
_space_group_name_H-M_alt 'F -4 3 m'
_space_group_IT_number 216
_space_group_name_Hall 'F -4 2 3'
_cell_length_a 9.417
_cell_length_b 9.417
_cell_length_c 9.417
_cell_angle_alpha 90.00
_cell_angle_beta 90.00
_cell_angle_gamma 90.00
loop_
_atom_site_label
_atom_site_fract_x
_atom_site_fract_y
_atom_site_fract_z
_atom_site_occupancy
Nd1 0.000 0.000 0.000 1
Sm1 0.124 0.124 0.376 1
Er1 0.250 0.250 0.750 1
# - magnetic moment (μB/atom) = 0.0032



Which structure is the most stable? The one labeled (i).



(i)
# Nd2SmEr5 (GGA-PBE, relaxed)
data_Nd2SmEr5
_chemical_formula_sum 'Nd4 Sm2 Er10'
_space_group_name_H-M_alt 'P b a m'
_space_group_IT_number 55
_cell_length_a 7.128
_cell_length_b 14.262
_cell_length_c 5.039
_cell_angle_alpha 90.00
_cell_angle_beta 90.00
_cell_angle_gamma 90.00
loop_
_space_group_symop_operation_xyz
'x,y,z'
'-x,-y,-z'
'-x,-y,z'
'x,y,-z'
'x+1/2,-y+1/2,-z'
'-x+1/2,y+1/2,z'
'-x+1/2,y+1/2,-z'
'x+1/2,-y+1/2,z'
loop_
_atom_site_label
_atom_site_fract_x
_atom_site_fract_y
_atom_site_fract_z
_atom_site_occupancy
Nd1 0.248 0.126 0.000 1
Sm1 0.000 0.500 0.500 1
Er1 0.000 0.000 0.500 1
Er2 0.002 0.751 0.500 1
Er3 0.249 0.375 0.000 1
# - magnetic moment (μB/atom) = 0.0000



(ii)
# Nd2SmEr5 (GGA-PBE, relaxed)
data_Nd2SmEr5
_chemical_formula_sum 'Nd8 Sm4 Er20'
_space_group_name_H-M_alt 'C 1 2/c 1'
_space_group_IT_number 15
_cell_length_a 16.241
_cell_length_b 9.876
_cell_length_c 6.500
_cell_angle_alpha 90.00
_cell_angle_beta 98.04
_cell_angle_gamma 90.00
loop_
_space_group_symop_operation_xyz
'x,y,z'
'-x,-y,-z'
'-x,y,-z+1/2'
'x,-y,z+1/2'
'x+1/2,y+1/2,z'
'-x+1/2,-y+1/2,-z'
'-x+1/2,y+1/2,-z+1/2'
'x+1/2,-y+1/2,z+1/2'
loop_
_atom_site_label
_atom_site_fract_x
_atom_site_fract_y
_atom_site_fract_z
_atom_site_occupancy
Nd1 0.078 0.246 0.114 1
Sm1 0.250 0.250 0.000 1
Er1 0.000 0.442 0.750 1
Er2 0.100 0.089 0.645 1
Er3 0.196 0.411 0.523 1
# - magnetic moment (μB/atom) = 0.0000



Which structure is the most stable? The one labeled (i).



(i)
# Nd7SmEr4 (GGA-PBE, relaxed)
data_Nd7SmEr4
_chemical_formula_sum 'Nd14 Sm2 Er8'
_space_group_name_H-M_alt 'C 1 2/m 1'
_space_group_IT_number 12
_cell_length_a 16.169
_cell_length_b 6.011
_cell_length_c 9.484
_cell_angle_alpha 90.00
_cell_angle_beta 117.02
_cell_angle_gamma 90.00
loop_
_space_group_symop_operation_xyz
'x,y,z'
'-x,-y,-z'
'-x,y,-z'
'x,-y,z'
'x+1/2,y+1/2,z'
'-x+1/2,-y+1/2,-z'
'-x+1/2,y+1/2,-z'
'x+1/2,-y+1/2,z'
loop_
_atom_site_label
_atom_site_fract_x
_atom_site_fract_y
_atom_site_fract_z
_atom_site_occupancy
Nd1 0.000 0.000 0.000 1
Nd2 0.087 0.500 0.453 1
Nd3 0.214 0.500 0.886 1
Nd4 0.215 0.500 0.243 1
Sm1 0.000 0.500 0.000 1
Er1 0.070 0.000 0.699 1
Er2 0.169 0.000 0.378 1
# - magnetic moment (μB/atom) = 0.0137



(ii)
# Nd7SmEr4 (GGA-PBE, relaxed)
data_Nd7SmEr4
_chemical_formula_sum 'Nd7 Sm1 Er4'
_space_group_name_H-M_alt 'P -1'
_space_group_IT_number 2
_cell_length_a 6.329
_cell_length_b 7.297
_cell_length_c 8.991
_cell_angle_alpha 89.96
_cell_angle_beta 76.42
_cell_angle_gamma 89.99
loop_
_space_group_symop_operation_xyz
'x,y,z'
'-x,-y,-z'
loop_
_atom_site_label
_atom_site_fract_x
_atom_site_fract_y
_atom_site_fract_z
_atom_site_occupancy
Nd1 0.000 0.000 0.000 1
Nd2 0.223 0.500 0.335 1
Nd3 0.281 0.751 0.664 1
Nd4 0.500 0.246 0.998 1
Sm1 0.000 0.500 0.000 1
Er1 0.219 0.000 0.336 1
Er2 0.277 0.246 0.666 1
# - magnetic moment (μB/atom) = 0.0000



Which structure is the most stable? The one labeled (ii).



(i)
# Nd4Sm3Er2 (GGA-PBE, relaxed)
data_Nd4Sm3Er2
_chemical_formula_sum 'Nd4 Sm3 Er2'
_space_group_name_H-M_alt 'P -1'
_space_group_IT_number 2
_cell_length_a 6.272
_cell_length_b 6.274
_cell_length_c 9.589
_cell_angle_alpha 90.05
_cell_angle_beta 108.95
_cell_angle_gamma 119.96
loop_
_space_group_symop_operation_xyz
'x,y,z'
'-x,-y,-z'
loop_
_atom_site_label
_atom_site_fract_x
_atom_site_fract_y
_atom_site_fract_z
_atom_site_occupancy
Nd1 0.111 0.388 0.166 1
Nd2 0.331 0.165 0.500 1
Sm1 0.000 0.500 0.500 1
Sm2 0.445 0.056 0.165 1
Er1 0.224 0.279 0.835 1
# - magnetic moment (μB/atom) = 0.0001



(ii)
# Nd4Sm3Er2 (GGA-PBE, relaxed)
data_Nd4Sm3Er2
_chemical_formula_sum 'Nd4 Sm3 Er2'
_space_group_name_H-M_alt 'P 3 m 1'
_space_group_IT_number 156
_cell_length_a 3.6294
_cell_length_b 3.6294
_cell_length_c 26.9610
_cell_angle_alpha 90.00
_cell_angle_beta 90.00
_cell_angle_gamma 120.00
loop_
_space_group_symop_operation_xyz
'x,y,z'
'-y,x-y,z'
'-x+y,-x,z'
'-y,-x,z'
'-x+y,y,z'
'x,x-y,z'
loop_
_atom_site_label
_atom_site_fract_x
_atom_site_fract_y
_atom_site_fract_z
_atom_site_occupancy
Nd1 0.0000 0.0000 0.0000 1
Nd2 0.0000 0.0000 0.2205 1
Nd3 0.3333 0.6667 0.3329 1
Nd4 0.3333 0.6667 0.5558 1
Sm1 0.0000 0.0000 0.4439 1
Sm2 0.3333 0.6667 0.1078 1
Sm3 0.3333 0.6667 0.7696 1
Er1 0.0000 0.0000 0.6624 1
Er2 0.0000 0.0000 0.8733 1
# - magnetic moment (μB/atom) = 0.0001



Which structure is the most stable? The one labeled (i).



(i)
# Nd12SmEr6 (GGA-PBE, relaxed)
data_Nd12SmEr6
_chemical_formula_sum 'Nd36 Sm3 Er18'
_space_group_name_H-M_alt 'R -3 m'
_space_group_IT_number 166
_space_group_name_Hall '-R 3 2"'
_cell_length_a 13.4749
_cell_length_b 13.4749
_cell_length_c 12.6497
_cell_angle_alpha 90.00
_cell_angle_beta 90.00
_cell_angle_gamma 120.00
loop_
_atom_site_label
_atom_site_fract_x
_atom_site_fract_y
_atom_site_fract_z
_atom_site_occupancy
Nd1 0.0000 0.2583 0.0000 1
Nd2 0.0904 0.1808 0.7626 1
Sm1 0.0000 0.0000 0.5000 1
Er1 0.0438 0.5219 0.1202 1
# - magnetic moment (μB/atom) = 0.0003



(ii)
# Nd12SmEr6 (GGA-PBE, relaxed)
data_Nd12SmEr6
_chemical_formula_sum 'Nd36 Sm3 Er18'
_space_group_name_H-M_alt 'R -3'
_space_group_IT_number 148
_space_group_name_Hall '-R 3'
_cell_length_a 12.1470
_cell_length_b 12.1470
_cell_length_c 15.3279
_cell_angle_alpha 90.00
_cell_angle_beta 90.00
_cell_angle_gamma 120.00
loop_
_atom_site_label
_atom_site_fract_x
_atom_site_fract_y
_atom_site_fract_z
_atom_site_occupancy
Nd1 0.0030 0.8286 0.1920 1
Nd2 0.0477 0.8496 0.4163 1
Sm1 0.0000 0.0000 0.0000 1
Er1 0.0155 0.4285 0.6870 1
# - magnetic moment (μB/atom) = 0.0000



Which structure is the most stable? The one labeled (ii).



(i)
# Nd2SmEr8 (GGA-PBE, relaxed)
data_Nd2SmEr8
_chemical_formula_sum 'Nd4 Sm2 Er16'
_space_group_name_H-M_alt 'C 1 2/m 1'
_space_group_IT_number 12
_cell_length_a 16.500
_cell_length_b 6.595
_cell_length_c 6.643
_cell_angle_alpha 90.00
_cell_angle_beta 99.86
_cell_angle_gamma 90.00
loop_
_space_group_symop_operation_xyz
'x,y,z'
'-x,-y,-z'
'-x,y,-z'
'x,-y,z'
'x+1/2,y+1/2,z'
'-x+1/2,-y+1/2,-z'
'-x+1/2,y+1/2,-z'
'x+1/2,-y+1/2,z'
loop_
_atom_site_label
_atom_site_fract_x
_atom_site_fract_y
_atom_site_fract_z
_atom_site_occupancy
Nd1 0.245 0.000 0.308 1
Sm1 0.000 0.000 0.000 1
Er1 0.087 0.262 0.404 1
Er2 0.088 0.500 0.905 1
Er3 0.202 0.000 0.800 1
# - magnetic moment (μB/atom) = 0.0000



(ii)
# Nd2SmEr8 (GGA-PBE, relaxed)
data_Nd2SmEr8
_chemical_formula_sum 'Nd4 Sm2 Er16'
_space_group_name_H-M_alt 'C 1 2/m 1'
_space_group_IT_number 12
_cell_length_a 9.028
_cell_length_b 15.998
_cell_length_c 5.878
_cell_angle_alpha 90.00
_cell_angle_beta 123.00
_cell_angle_gamma 90.00
loop_
_space_group_symop_operation_xyz
'x,y,z'
'-x,-y,-z'
'-x,y,-z'
'x,-y,z'
'x+1/2,y+1/2,z'
'-x+1/2,-y+1/2,-z'
'-x+1/2,y+1/2,-z'
'x+1/2,-y+1/2,z'
loop_
_atom_site_label
_atom_site_fract_x
_atom_site_fract_y
_atom_site_fract_z
_atom_site_occupancy
Nd1 0.000 0.194 0.000 1
Sm1 0.000 0.500 0.500 1
Er1 0.000 0.292 0.500 1
Er2 0.070 0.000 0.296 1
Er3 0.215 0.384 0.174 1
# - magnetic moment (μB/atom) = 0.0000



Which structure is the most stable? The one labeled (ii).



(i)
# Nd4SmEr5 (GGA-PBE, relaxed)
data_Nd4SmEr5
_chemical_formula_sum 'Nd8 Sm2 Er10'
_space_group_name_H-M_alt 'I 4 m m'
_space_group_IT_number 107
_space_group_name_Hall 'I 4 -2'
_cell_length_a 10.667
_cell_length_b 10.667
_cell_length_c 5.964
_cell_angle_alpha 90.00
_cell_angle_beta 90.00
_cell_angle_gamma 90.00
loop_
_atom_site_label
_atom_site_fract_x
_atom_site_fract_y
_atom_site_fract_z
_atom_site_occupancy
Nd1 0.000 0.324 0.000 1
Sm1 0.000 0.000 0.745 1
Er1 0.000 0.000 0.220 1
Er2 0.189 0.189 0.480 1
# - magnetic moment (μB/atom) = 0.0000



(ii)
# Nd4SmEr5 (GGA-PBE, relaxed)
data_Nd4SmEr5
_chemical_formula_sum 'Nd4 Sm1 Er5'
_space_group_name_H-M_alt 'P -1'
_space_group_IT_number 2
_cell_length_a 3.530
_cell_length_b 8.758
_cell_length_c 11.286
_cell_angle_alpha 90.14
_cell_angle_beta 90.01
_cell_angle_gamma 101.60
loop_
_space_group_symop_operation_xyz
'x,y,z'
'-x,-y,-z'
loop_
_atom_site_label
_atom_site_fract_x
_atom_site_fract_y
_atom_site_fract_z
_atom_site_occupancy
Nd1 0.033 0.065 0.248 1
Nd2 0.344 0.685 0.250 1
Sm1 0.500 0.000 0.500 1
Er1 0.172 0.346 0.046 1
Er2 0.174 0.348 0.450 1
Er3 0.500 0.000 0.000 1
# - magnetic moment (μB/atom) = 0.0000



Which structure is the most stable? The one labeled (ii).



(i)
# Nd4SmEr (GGA-PBE, relaxed)
data_Nd4SmEr
_chemical_formula_sum 'Nd16 Sm4 Er4'
_space_group_name_H-M_alt 'F -4 3 m'
_space_group_IT_number 216
_space_group_name_Hall 'F -4 2 3'
_cell_length_a 9.473
_cell_length_b 9.473
_cell_length_c 9.473
_cell_angle_alpha 90.00
_cell_angle_beta 90.00
_cell_angle_gamma 90.00
loop_
_atom_site_label
_atom_site_fract_x
_atom_site_fract_y
_atom_site_fract_z
_atom_site_occupancy
Nd1 0.124 0.124 0.124 1
Sm1 0.000 0.000 0.500 1
Er1 0.250 0.250 0.750 1
# - magnetic moment (μB/atom) = 0.0002



(ii)
# Nd4SmEr (GGA-PBE, relaxed)
data_Nd4SmEr
_chemical_formula_sum 'Nd8 Sm2 Er2'
_space_group_name_H-M_alt 'C m m m'
_space_group_IT_number 65
_space_group_name_Hall '-C 2 2'
_cell_length_a 5.163
_cell_length_b 15.456
_cell_length_c 5.154
_cell_angle_alpha 90.00
_cell_angle_beta 90.00
_cell_angle_gamma 90.00
loop_
_atom_site_label
_atom_site_fract_x
_atom_site_fract_y
_atom_site_fract_z
_atom_site_occupancy
Nd1 0.000 0.165 0.000 1
Nd2 0.000 0.334 0.500 1
Sm1 0.000 0.500 0.000 1
Er1 0.000 0.000 0.500 1
# - magnetic moment (μB/atom) = 0.0000



Which structure is the most stable? The one labeled (ii).